The following is a PBE calculation of Tb3SmSc2S6 after structural relaxation, from Alexandria.

Cell: 6.704 6.704 6.697 Å, 99.60 99.60 120.11°
Fractional positions:
Sc 0.335 0.665 0.000
Sc 0.665 0.335 0.000
Tb 0.160 0.840 0.500
Tb 0.500 0.500 0.500
Tb 0.840 0.160 0.500
S 0.920 0.571 0.758
S 0.269 0.269 0.763
S 0.571 0.920 0.758
S 0.080 0.429 0.242
S 0.429 0.080 0.242
S 0.731 0.731 0.237
Sm 0.000 0.000 0.000

Calculated values
* formation energy without anion corrections: -187.88 kJ per mole of atoms
* SG: C2/m, No. 12
* VASP energy: -0.24317 hartree per atom

The following is a PBE calculation of OsSCl2 after structural relaxation, from Alexandria.

Cell: 9.028 9.028 6.751 Å, 48.04 48.04 90.00°
Fractional positions:
S 0.250 0.750 0.500
S 0.500 0.500 0.000
Os 0.000 0.000 0.000
Os 0.750 0.250 0.500
Cl 0.875 0.018 0.750
Cl 0.982 0.625 0.250
Cl 0.375 0.232 0.750
Cl 0.768 0.125 0.250

Calculated values
* distance to the lowest polymorph of the same formula: 0.0 kJ per mole of atoms
* formation energy without anion corrections: 19.26 kJ per mole of atoms
* SG: I-42d, No. 122
* VASP energy: -0.16769 hartree per atom

The following is a PBE calculation of In2CoNi after structural relaxation, from Alexandria.

Cell: 5.203 5.203 5.203 Å, 137.36 137.36 61.89°
Last column: magnetic moment on the atom in μB.
Fractional positions:
Co 0.750 0.250 0.500  0.81
In 0.250 0.750 0.500  -0.02
In 0.000 0.000 0.000  -0.02
Ni 0.500 0.500 0.000  -0.01

Calculated values
* distance to the lowest polymorph of the same formula: 13.3 kJ per mole of atoms
* SG: I-4m2, No. 119
* VASP energy: -0.16271 hartree per atom

The following is a PBE calculation of YTmAlIn after structural relaxation, from Alexandria.

Cell: 3.574 3.574 7.704 Å, 90.00 90.00 90.00°
Fractional positions:
Y 0.500 0.500 0.595
Al 0.000 0.000 0.352
In 0.000 0.000 0.862
Tm 0.500 0.500 0.119

Calculated values
* distance to the lowest polymorph of the same formula: 0.0 kJ per mole of atoms
* SG: P4mm, No. 99
* VASP energy: -0.17558 hartree per atom

The following is a PBE calculation of NaDyUSe4 after structural relaxation, from Alexandria.

Cell: 8.591 8.486 8.448 Å, 119.85 90.00 120.41°
Last column: magnetic moment on the atom in μB.
Fractional positions:
Se 0.741 0.482 0.267  -0.05
Se 0.259 0.518 0.733  -0.05
Se 0.259 0.518 0.285  -0.05
Se 0.741 0.482 0.715  -0.05
Se 0.287 0.027 0.264  -0.04
Se 0.260 0.973 0.736  -0.04
Se 0.713 0.973 0.736  -0.04
Se 0.740 0.027 0.264  -0.04
U 0.000 0.500 0.500  2.11
U 0.500 0.500 0.500  2.11
Na 0.119 0.239 0.869  0.00
Na 0.881 0.761 0.131  0.00
Dy 0.500 0.000 0.000  0.01
Dy 0.500 0.000 0.500  0.01

Calculated values
* formation energy without anion corrections: -138.03 kJ per mole of atoms
* SG: Imma, No. 74
* VASP energy: -0.21610 hartree per atom

The following is a PBE calculation of YBeIn after structural relaxation, from Alexandria.

Cell: 6.170 4.599 8.671 Å, 90.00 90.00 90.00°
Fractional positions:
Y 0.813 0.250 0.080
Y 0.187 0.750 0.920
Y 0.687 0.750 0.580
Y 0.313 0.250 0.420
Be 0.661 0.750 0.913
Be 0.839 0.250 0.413
Be 0.161 0.750 0.587
Be 0.339 0.250 0.087
In 0.988 0.250 0.712
In 0.012 0.750 0.288
In 0.512 0.750 0.212
In 0.488 0.250 0.788

Calculated values
* distance to the lowest polymorph of the same formula: 13.8 kJ per mole of atoms
* SG: Pnma, No. 62
* VASP energy: -0.16294 hartree per atom

no.,magnetization (μB per formula unit)
1,0.0
2,0.0
3,0.7
4,0.0
5,2.0
6,0.0